Record 1
This record from Alexandria via LeMat-Bulk describes a relaxed structure of Ba3LaCd. The functional is PBE.

The structure in POSCAR format:
```
Ba3LaCd
1.0
-2.344 1.308 5.907
0.998 -6.165 1.761
5.967 1.545 2.026
Cd Ba La
1 3 1
Direct
0.500 0.500 0.500 Cd
0.000 0.500 0.000 Ba
0.000 0.000 0.500 Ba
0.500 0.000 0.000 Ba
0.000 0.000 0.000 La
```

- Space-group type: Pm-3m
- Energy relative to the lowest polymorph listed for this composition: 259 meV/atom
- Calculated formation energy: 0.5384 eV/atom

Record 2
This record from Alexandria via LeMat-Bulk describes a relaxed structure of Ba5LaCd6. The functional is PBE.

The structure in POSCAR format:
```
Ba5LaCd6
1.0
5.846 -0.371 0.948
-0.023 7.745 3.176
1.367 0.349 10.191
Cd Ba La
6 5 1
Direct
0.841 0.609 0.317 Cd
0.841 0.074 0.317 Cd
0.500 0.783 0.000 Cd
0.500 0.217 0.000 Cd
0.159 0.926 0.683 Cd
0.159 0.391 0.683 Cd
0.675 0.174 0.652 Ba
0.337 0.337 0.326 Ba
0.000 0.500 0.000 Ba
0.663 0.663 0.674 Ba
0.325 0.826 0.348 Ba
0.000 0.000 0.000 La
```

- Space-group type: C2/m
- Calculated formation energy: -0.3095 eV/atom

Record 3
This record from Alexandria via LeMat-Bulk describes a relaxed structure of Ba4LaCd. The functional is PBE.

The structure in POSCAR format:
```
Ba4LaCd
1.0
0.000 5.342 5.342
5.342 0.000 5.342
5.342 5.342 0.000
Ba La Cd
4 1 1
Direct
0.375 0.875 0.375 Ba
0.875 0.375 0.375 Ba
0.375 0.375 0.875 Ba
0.375 0.375 0.375 Ba
0.000 0.000 0.000 La
0.750 0.750 0.750 Cd
```

- Space-group type: F-43m
- Calculated formation energy: 0.4171 eV/atom

Record 4
This record from Alexandria via LeMat-Bulk describes a relaxed structure of BaLa2Cd2. The functional is PBE.

The structure in POSCAR format:
```
BaLa2Cd2
1.0
-2.675 -8.929 -2.108
8.672 -3.177 2.455
-1.165 -0.477 3.499
Cd Ba La
4 2 4
Direct
0.176 0.676 0.500 Cd
0.676 0.824 0.500 Cd
0.824 0.324 0.500 Cd
0.324 0.176 0.500 Cd
0.000 0.000 0.000 Ba
0.500 0.500 0.000 Ba
0.383 0.883 0.000 La
0.883 0.617 0.000 La
0.617 0.117 0.000 La
0.117 0.383 0.000 La
```

- Space-group type: P4/mbm
- Energy relative to the lowest polymorph listed for this composition: 0 meV/atom
- Calculated formation energy: -0.1958 eV/atom

Record 5
This record from Alexandria via LeMat-Bulk describes a relaxed structure of Ba2LaCdN. The functional is PBE.

The structure in POSCAR format:
```
Ba2LaCdN
1.0
-6.372 -1.939 -0.586
1.736 -5.133 -1.898
0.117 -2.284 6.283
N Cd Ba La
1 1 2 1
Direct
0.500 0.500 0.500 N
0.000 0.500 0.000 Cd
0.000 0.000 0.500 Ba
0.500 0.000 0.000 Ba
0.000 0.000 0.000 La
```

- Raw formation energy: 7.18 eV per formula unit
- Space-group type: P4/mmm
- Energy relative to the lowest polymorph listed for this composition: 1894 meV/atom

Record 6
This record from Alexandria via LeMat-Bulk describes a relaxed structure of Ba2LaCdN. The functional is PBE.

The structure in POSCAR format:
```
Ba2LaCdN
1.0
5.889 0.000 0.000
0.000 5.889 0.000
0.000 0.000 4.835
N Cd Ba La
1 1 2 1
Direct
0.000 0.000 0.000 N
0.500 0.500 0.500 Cd
0.000 0.500 0.000 Ba
0.500 0.000 0.000 Ba
0.000 0.000 0.500 La
```

- Raw formation energy: -2.29 eV per formula unit
- Space-group type: P4/mmm
- Energy relative to the lowest polymorph listed for this composition: 0 meV/atom

Record 7
This record from Alexandria via LeMat-Bulk describes a relaxed structure of BaLa2CdN. The functional is PBE.

The structure in POSCAR format:
```
BaLa2CdN
1.0
5.093 0.000 0.000
0.000 5.093 0.000
0.000 0.000 5.738
N Cd Ba La
1 1 1 2
Direct
0.000 0.000 0.000 N
0.500 0.500 0.500 Cd
0.000 0.000 0.500 Ba
0.000 0.500 0.000 La
0.500 0.000 0.000 La
```

- Raw formation energy: -2.72 eV per formula unit
- Space-group type: P4/mmm

Record 8
This record from Alexandria via LeMat-Bulk describes a relaxed structure of BaNaLaCd. The functional is PBE.

The structure in POSCAR format:
```
BaNaLaCd
1.0
5.929 0.000 0.000
2.964 5.135 0.000
2.964 1.712 4.841
Na Cd Ba La
1 1 1 1
Direct
0.250 0.250 0.250 Na
0.750 0.750 0.750 Cd
0.000 0.000 0.000 Ba
0.500 0.500 0.500 La
```

- Space-group type: F-43m
- Calculated formation energy: -0.0017 eV/atom

Record 9
This record from Alexandria via LeMat-Bulk describes a relaxed structure of Ba2LaCd2O6. The functional is PBE.

The structure in POSCAR format:
```
Ba2LaCd2O6
1.0
6.552 0.000 0.000
3.276 5.674 0.000
3.276 1.891 6.236
Ba La Cd O
2 1 2 6
Direct
0.801 0.801 0.597 Ba
0.199 0.199 0.403 Ba
0.000 0.000 0.000 La
0.420 0.420 0.740 Cd
0.580 0.580 0.260 Cd
0.760 0.760 0.273 O
0.207 0.760 0.273 O
0.760 0.207 0.273 O
0.240 0.793 0.727 O
0.793 0.240 0.727 O
0.240 0.240 0.727 O
```

- Raw formation energy: -20.59 eV per formula unit
- Space-group type: R-3m

Record 10
This record from Alexandria via LeMat-Bulk describes a relaxed structure of Ba2LaCdO5. The functional is PBE.

The structure in POSCAR format:
```
Ba2LaCdO5
1.0
3.766 0.000 0.000
-1.883 7.533 0.000
0.000 0.000 11.569
Ba La Cd O
4 2 2 10
Direct
0.867 0.734 0.794 Ba
0.106 0.212 0.693 Ba
0.133 0.266 0.294 Ba
0.894 0.788 0.193 Ba
0.788 0.575 0.508 La
0.212 0.425 0.008 La
0.521 0.041 0.968 Cd
0.479 0.959 0.468 Cd
0.368 0.736 0.998 O
0.685 0.371 0.877 O
0.494 0.988 0.782 O
0.279 0.559 0.645 O
0.944 0.887 0.559 O
0.632 0.264 0.498 O
0.315 0.629 0.377 O
0.506 0.012 0.282 O
0.721 0.441 0.145 O
0.056 0.113 0.059 O
```

- Raw formation energy: -20.09 eV per formula unit
- Space-group type: Cmc2_1

Record 11
This record from Alexandria via LeMat-Bulk describes a relaxed structure of Ba2LaCdO. The functional is PBE.

The structure in POSCAR format:
```
Ba2LaCdO
1.0
5.879 0.000 0.000
0.000 5.879 0.000
0.000 0.000 4.739
Cd Ba O La
1 2 1 1
Direct
0.500 0.500 0.500 Cd
0.000 0.500 0.000 Ba
0.500 0.000 0.000 Ba
0.000 0.000 0.000 O
0.000 0.000 0.500 La
```

- Raw formation energy: -5.65 eV per formula unit
- Space-group type: P4/mmm

Record 12
This record from Alexandria via LeMat-Bulk describes a relaxed structure of BaLa2CdO5. The functional is PBE.

The structure in POSCAR format:
```
BaLa2CdO5
1.0
6.994 0.000 0.000
0.000 6.994 0.000
-3.497 -3.497 6.194
Ba La Cd O
2 4 2 10
Direct
0.250 0.250 0.500 Ba
0.750 0.750 0.500 Ba
0.176 0.324 0.000 La
0.676 0.176 0.000 La
0.324 0.824 0.000 La
0.824 0.676 0.000 La
0.250 0.750 0.500 Cd
0.750 0.250 0.500 Cd
0.972 0.472 0.253 O
0.718 0.218 0.747 O
0.028 0.528 0.747 O
0.218 0.028 0.747 O
0.528 0.718 0.747 O
0.782 0.972 0.253 O
0.472 0.282 0.253 O
0.282 0.782 0.253 O
0.500 0.500 0.000 O
0.000 0.000 0.000 O
```

- Raw formation energy: -23.82 eV per formula unit
- Space-group type: I4/mcm

Short version: total DFT energy (no corrections) = -8.92, -23.75, -11.03, -29.17, -10.83, -20.31, -23.73, -9.09, -60.94, -109.14, -20.29, -122.61 eV/cell, in the order given.